The following is a PBE calculation of an optimized crystal structure of BeBi3Rh, from Alexandria.

Properties
Excess energy over the best structure of this formula in the dataset   0.00 eV per formula unit
Total magnetization   0.0 μB per cell
SG   Pm-3m (221)

```
BeBi3Rh
1.0
-4.5986 0.5419 1.8110
1.4198 -2.1546 4.2500
1.2480 4.4480 1.8381
Bi Be Rh
3 1 1
Direct
0.0000 0.5000 0.0000 Bi
0.0000 0.0000 0.5000 Bi
0.5000 0.0000 0.0000 Bi
0.0000 0.0000 0.0000 Be
0.5000 0.5000 0.5000 Rh
```